A relaxed SrCO3 crystal, computed with GGA-PBE.

a = 5.2579 Å, b = 5.2579 Å, c = 18.6422 Å
α = 90.00°, β = 90.00°, γ = 120.00°
Last column: nearest neighbours and their distance in Å.
Space group R-3c (No. 167, hexagonal axes)
Inequivalent atoms, fractional coordinates:
Sr  0.0000  0.0000  0.0000 [6 per cell]  6 O 2.55
C  0.0000  0.0000  0.2500 [6 per cell]  3 O 1.30
O  0.0000  0.2474  0.2500 [18 per cell]  1 C 1.30

Values from the calculation:
For the energy relative to the elements, uncorrected, the calculation gives -2257.0 meV/atom.